# PBE FeCo2As, relaxed
data_FeCo2As
_chemical_formula_sum 'Fe3 Co6 As3'
_symmetry_space_group_name_H-M 'R 3 m'
_symmetry_Int_Tables_number 160
_symmetry_space_group_name_Hall 'R 3 -2"'
_cell_length_a 2.7059
_cell_length_b 2.7059
_cell_length_c 23.1380
_cell_angle_alpha 90.00
_cell_angle_beta 90.00
_cell_angle_gamma 120.00
loop_
_atom_site_label
_atom_site_type_symbol
_atom_site_fract_x
_atom_site_fract_y
_atom_site_fract_z
Fe1 Fe 0.0000 0.0000 0.0000
Co1 Co 0.0000 0.0000 0.2508
Co2 Co 0.0000 0.0000 0.5000
As1 As 0.0000 0.0000 0.7519
# crystal system: trigonal
# DOS(E_F): 1.017 states/eV/atom
# formation energy: 0.216 eV per atom